(1)
HfGaBr2, optimized geometry, DFT PBE-GGA; calculated volume = 247 Å³ per cell; total magnetic moment = 0.000 μB/atom; energy above the most stable polymorph in this dataset = 267 meV per atom
1.0
9.434 0.000 0.000
0.000 9.434 0.000
4.717 4.717 2.779
Hf Ga Br
2 2 4
Direct
0.000 0.000 0.000 Hf
0.750 0.250 0.500 Hf
0.500 0.500 0.000 Ga
0.250 0.750 0.500 Ga
0.766 0.125 0.250 Br
0.984 0.625 0.250 Br
0.375 0.234 0.750 Br
0.875 0.016 0.750 Br

---

(2)
Dy2CuAgO5, optimized geometry, DFT PBE-GGA; calculated volume = 234 Å³ per cell; total magnetic moment = 0.000 μB/atom; raw total energy = -6.58 eV per atom
1.0
-0.468 2.282 -4.963
5.668 -2.712 -1.782
-3.197 -5.283 -2.127
Dy Cu Ag O
4 2 2 10
Direct
0.500 0.676 0.176 Dy
0.500 0.176 0.324 Dy
0.500 0.824 0.676 Dy
0.500 0.324 0.824 Dy
0.000 0.000 0.500 Cu
0.000 0.500 0.000 Cu
0.000 0.500 0.500 Ag
0.000 0.000 0.000 Ag
0.500 0.500 0.500 O
0.500 0.000 0.000 O
0.249 0.132 0.632 O
0.249 0.868 0.368 O
0.249 0.368 0.132 O
0.249 0.632 0.868 O
0.751 0.132 0.632 O
0.751 0.632 0.868 O
0.751 0.868 0.368 O
0.751 0.368 0.132 O